Compound: CaNdTlPt
Source: Alexandria via LeMat-Bulk
Functional: GGA-PBE
Structure: optimized geometry

Lattice parameters (Å, degrees): 5.2496 5.2496 5.2496 60.00 60.00 60.00
Closest atoms and distances in Å follow each position.
Element x y z (fractional)
Pt: 0.7500 0.7500 0.7500  4 Nd 3.21, 4 Ca 3.21
Ca: 0.0000 0.0000 0.0000  4 Tl 3.21, 4 Pt 3.21
Nd: 0.5000 0.5000 0.5000  4 Tl 3.21, 4 Pt 3.21
Tl: 0.2500 0.2500 0.2500  4 Ca 3.21, 4 Nd 3.21

- Calculated formation energy: -0.63 eV/atom
- Electronic total energy: -4.419 eV per atom
- ρ: 9.5 g/cm³
- Space-group type: F-43m, No. 216
- DOS at the Fermi energy: 2.344 states/eV per cell

***

Compound: BaNd2AgO5
Source: Alexandria via LeMat-Bulk
Functional: GGA-PBE
Structure: optimized geometry

Lattice parameters (Å, degrees): 6.8168 6.8168 7.8904 115.59 115.59 90.00
Closest atoms and distances in Å follow each position.
Element x y z (fractional)
Ba: 0.7500 0.7500 0.5000  10 O 3.08-3.12, 4 Ag 3.41
O: 0.0000 0.0000 0.0000  4 Nd 2.53
Nd: 0.8300 0.6700 0.0000  4 O 2.30-2.53
O: 0.7667 0.9708 0.2375  1 Ag 2.17, 1 Nd 2.30
O: 0.0292 0.5292 0.7625  1 Ag 2.17, 1 Nd 2.30
O: 0.7333 0.2333 0.7625  1 Ag 2.17, 1 Nd 2.30
O: 0.2667 0.7667 0.2375  1 Ag 2.17, 1 Nd 2.30
O: 0.2333 0.0292 0.7625  1 Ag 2.17, 1 Nd 2.30
O: 0.4708 0.2667 0.2375  1 Ag 2.17, 1 Nd 2.30
Nd: 0.1700 0.3300 0.0000  4 O 2.30-2.53
Ag: 0.2500 0.7500 0.5000  4 O 2.17
Ag: 0.7500 0.2500 0.5000  4 O 2.17
Ba: 0.2500 0.2500 0.5000  10 O 3.08-3.12, 4 Ag 3.41
Nd: 0.6700 0.1700 0.0000  4 O 2.30-2.53
O: 0.5292 0.7333 0.7625  1 Ag 2.17, 1 Nd 2.30
O: 0.5000 0.5000 0.0000  4 Nd 2.53
O: 0.9708 0.4708 0.2375  1 Ag 2.17, 1 Nd 2.30
Nd: 0.3300 0.8300 0.0000  4 O 2.30-2.53

- Formation energy (no corrections): -226.5 kJ per mole of atoms
- Electronic total energy: -6.692 eV per atom
- ρ: 7.0 g/cm³
- Space-group type: I4/mcm, No. 140
- DOS at the Fermi energy: 14.004 states/eV per cell

***

Compound: LiSbI2O
Source: Alexandria via LeMat-Bulk
Functional: GGA-PBE
Structure: optimized geometry

Lattice parameters (Å, degrees): 5.0215 5.0215 5.2978 90.00 90.00 90.00
Closest atoms and distances in Å follow each position.
Element x y z (fractional)
Li: 0.0000 0.0000 0.0000  4 I 2.51, 2 Sb 2.65
I: 0.5000 0.0000 0.0000  2 Li 2.51
O: 0.5000 0.5000 0.5000  4 Sb 3.55, 8 I 3.65
I: 0.0000 0.5000 0.0000  2 Li 2.51
Sb: 0.0000 0.0000 0.5000  2 Li 2.65

- Formation energy (no corrections): 59.7 kJ per mole of atoms
- Offset from the most stable computed form: 6.141 eV/f.u.
- Electronic total energy: -2.200 eV per atom
- ρ: 5.0 g/cm³
- Space-group type: P4/mmm, No. 123
- DOS at the Fermi energy: 8.136 states/eV per cell